[1]
A plane-wave DFT calculation with PBE was carried out for a relaxed Cs2SiBiF6 crystal.

* space group: No. 139
* formation energy without anion corrections: -24.7 eV per formula unit
* total magnetization: 1.000 Bohr magnetons per cell
* calculated total energy: -4.70 eV per atom

Cell: 7.178 7.178 7.178 Å, 127.49 127.49 77.46°
Fractional positions:
1 Cs 0.250 0.750 0.500
2 Cs 0.750 0.250 0.500
3 Si 0.000 0.000 0.000
4 Bi 0.500 0.500 0.000
5 F 0.153 0.153 0.000
6 F 0.193 0.193 0.385
7 F 0.193 0.807 0.000
8 F 0.807 0.193 0.000
9 F 0.807 0.807 0.615
10 F 0.847 0.847 0.000

[2]
A plane-wave DFT calculation with PBE was carried out for a relaxed RbCd2FeRe crystal.

* space group: No. 123
* total magnetization: 2.369 Bohr magnetons per cell
* ΔH_f (0 K): 0.856 eV/atom
* calculated total energy: -3.89 eV per atom
* excess energy over the best structure of this formula in the dataset: 0.0 meV per atom

Cell: 5.235 5.235 4.461 Å, 90.00 90.00 90.00°
Fractional positions:
1 Rb 0.000 0.000 0.000
2 Cd 0.000 0.500 0.500
3 Cd 0.500 0.000 0.500
4 Fe 0.500 0.500 0.500
5 Re 0.500 0.500 0.000

[3]
A plane-wave DFT calculation with PBE was carried out for a relaxed Re2AuSe crystal.

* space group: No. 12
* formation energy without anion corrections: 3.8 eV per formula unit
* total magnetization: 0.000 Bohr magnetons per cell
* calculated total energy: -6.95 eV per atom

Cell: 5.703 5.703 2.832 Å, 104.32 104.32 122.09°
Fractional positions:
1 Re 0.000 0.500 0.000
2 Re 0.500 0.000 0.000
3 Au 0.000 0.000 0.500
4 Se 0.500 0.500 0.500

[4]
A plane-wave DFT calculation with PBE was carried out for a relaxed RbCdP2Cl crystal.

* space group: No. 123
* formation energy without anion corrections: 4.6 eV per formula unit
* total magnetization: 5.983 Bohr magnetons per cell
* calculated total energy: -1.99 eV per atom
* excess energy over the best structure of this formula in the dataset: 817.7 meV per atom

Cell: 7.293 7.293 5.973 Å, 90.00 90.00 90.00°
Fractional positions:
1 Rb 0.000 0.000 0.000
2 Cd 0.500 0.500 0.500
3 P 0.000 0.500 0.000
4 P 0.500 0.000 0.000
5 Cl 0.000 0.000 0.500

[5]
A plane-wave DFT calculation with PBE was carried out for a relaxed Ca2Al4SiPt3 crystal.

* space group: No. 115
* formation energy without anion corrections: -8.7 eV per formula unit
* total magnetization: 0.000 Bohr magnetons per cell
* calculated total energy: -5.12 eV per atom

Cell: 4.221 4.221 10.631 Å, 90.00 90.00 90.00°
Fractional positions:
1 Ca 0.000 0.500 0.247
2 Ca 0.500 0.000 0.753
3 Al 0.000 0.000 0.500
4 Al 0.000 0.500 0.865
5 Al 0.500 0.000 0.135
6 Al 0.500 0.500 0.500
7 Si 0.500 0.500 0.000
8 Pt 0.000 0.000 0.000
9 Pt 0.000 0.500 0.632
10 Pt 0.500 0.000 0.368

[6]
A plane-wave DFT calculation with PBE was carried out for a relaxed Na7Tl2Ag crystal.

* space group: No. 15
* total magnetization: 0.000 Bohr magnetons per cell
* ΔH_f (0 K): -0.041 eV/atom
* calculated total energy: -1.72 eV per atom

Cell: 8.803 8.803 11.230 Å, 121.52 121.52 60.19°
Fractional positions:
1 Na 0.092 0.908 0.750
2 Na 0.125 0.583 0.187
3 Na 0.171 0.401 0.442
4 Na 0.250 0.592 0.921
5 Na 0.401 0.171 0.942
6 Na 0.408 0.750 0.579
7 Na 0.417 0.875 0.313
8 Na 0.583 0.125 0.687
9 Na 0.592 0.250 0.421
10 Na 0.599 0.829 0.058
11 Na 0.750 0.408 0.079
12 Na 0.829 0.599 0.558
13 Na 0.875 0.417 0.813
14 Na 0.908 0.092 0.250
15 Tl 0.119 0.167 0.595
16 Tl 0.167 0.119 0.095
17 Tl 0.833 0.881 0.905
18 Tl 0.881 0.833 0.405
19 Ag 0.463 0.537 0.750
20 Ag 0.537 0.463 0.250

[7]
A plane-wave DFT calculation with PBE was carried out for a relaxed LaMnHg2 crystal.

* space group: No. 99
* total magnetization: 3.280 Bohr magnetons per cell
* ΔH_f (0 K): 0.015 eV/atom
* calculated total energy: -3.66 eV per atom

Cell: 3.644 3.644 7.381 Å, 90.00 90.00 90.00°
Fractional positions:
1 La 0.000 0.000 0.000
2 Mn 0.500 0.500 0.277
3 Hg 0.000 0.000 0.451
4 Hg 0.500 0.500 0.706

[8]
A plane-wave DFT calculation with PBE was carried out for a relaxed DyPuRu crystal.

* space group: No. 166
* total magnetization: 11.493 Bohr magnetons per cell
* ΔH_f (0 K): -0.051 eV/atom
* calculated total energy: -9.45 eV per atom
* excess energy over the best structure of this formula in the dataset: 142.6 meV per atom

Cell: 7.155 7.155 7.155 Å, 40.85 40.85 40.85°
Fractional positions:
1 Dy 0.122 0.122 0.122
2 Dy 0.878 0.878 0.878
3 Pu 0.297 0.297 0.297
4 Pu 0.703 0.703 0.703
5 Ru 0.434 0.434 0.434
6 Ru 0.566 0.566 0.566